1.
Below is a relaxed Mn2NiW crystal, with properties calculated at the PBE level.

Formation energy, eV per atom: 0.068
D(E_F), states/eV/cell: 7.22
Crystal system: tetragonal
Energy above the most stable polymorph in this dataset, meV per atom: 37.5

a = 3.6684 Å, b = 3.6684 Å, c = 7.2457 Å
α = 90.00°, β = 90.00°, γ = 90.00°
Last column: nearest neighbours and their distance in Å.
Space group I-4m2 (No. 119)
Inequivalent atoms, fractional coordinates:
Mn 0.0000 0.0000 0.0000 x2  4 Mn 2.58, 4 W 2.58, 4 Ni 2.59
Mn 0.0000 0.5000 0.2500 x2  4 Mn 2.58, 4 Ni 2.58, 4 W 2.59
Ni 0.0000 0.0000 0.5000 x2  8 Mn 2.58-2.59, 4 W 2.58
W 0.0000 0.5000 0.7500 x2  8 Mn 2.58-2.59, 4 Ni 2.58

***

2.
Below is a relaxed Mn2NiW crystal, with properties calculated at the PBE level.

Formation energy, eV per atom: 0.149
D(E_F), states/eV/cell: 10.25
Crystal system: monoclinic
Energy above the most stable polymorph in this dataset, meV per atom: 118.6

a = 8.4798 Å, b = 2.6167 Å, c = 4.5212 Å
α = 90.00°, β = 99.20°, γ = 90.00°
Last column: nearest neighbours and their distance in Å.
Space group C2/m (No. 12)
Inequivalent atoms, fractional coordinates:
Mn 0.2426 0.0000 0.2243 x4  4 Mn 2.43-2.62, 3 Ni 2.51-2.55, 3 W 2.57-2.68
Ni 0.0000 0.5000 0.0000 x2  6 Mn 2.51-2.55, 4 W 2.61, 2 Ni 2.62
W 0.0000 0.0000 0.5000 x2  6 Mn 2.57-2.68, 4 Ni 2.61, 2 W 2.62

***

3.
Below is a relaxed MnNiW2 crystal, with properties calculated at the PBE level.

Formation energy, eV per atom: 0.326
D(E_F), states/eV/cell: 14.02
Crystal system: trigonal
Energy above the most stable polymorph in this dataset, meV per atom: 230.0

a = 2.7110 Å, b = 2.7110 Å, c = 26.6899 Å
α = 90.00°, β = 90.00°, γ = 120.00°
Last column: nearest neighbours and their distance in Å.
Space group R-3m (No. 166, hexagonal axes)
Inequivalent atoms, fractional coordinates:
Mn 0.0000 0.0000 0.0000 x3  6 Mn 2.71, 6 W 2.75
Ni 0.0000 0.0000 0.5000 x3  6 W 2.69, 6 Ni 2.71
W 0.0000 0.0000 0.2487 x6  3 Ni 2.69, 6 W 2.71, 3 Mn 2.75

***

4.
Below is a relaxed MnNiW2 crystal, with properties calculated at the PBE level.

Formation energy, eV per atom: 0.144
D(E_F), states/eV/cell: 3.74
Crystal system: orthorhombic
Energy above the most stable polymorph in this dataset, meV per atom: 48.6

a = 2.6954 Å, b = 3.7436 Å, c = 5.4062 Å
α = 90.00°, β = 90.00°, γ = 90.00°
Last column: nearest neighbours and their distance in Å.
Space group Pmmm (No. 47)
Inequivalent atoms, fractional coordinates:
Mn 0.0000 0.0000 0.0000 x1  8 W 2.67, 2 Mn 2.70, 2 Ni 2.70
Ni 0.0000 0.0000 0.5000 x1  8 W 2.68, 2 Ni 2.70, 2 Mn 2.70
W 0.5000 0.5000 0.2473 x2  4 Mn 2.67, 4 W 2.67-2.73, 4 Ni 2.68

***

5.
Below is a relaxed MnNi2W crystal, with properties calculated at the PBE level.

Formation energy, eV per atom: 0.500
D(E_F), states/eV/cell: 21.39
Crystal system: tetragonal
Energy above the most stable polymorph in this dataset, meV per atom: 536.6

a = 3.4569 Å, b = 3.4569 Å, c = 17.4157 Å
α = 90.00°, β = 90.00°, γ = 90.00°
Last column: nearest neighbours and their distance in Å.
Space group I-42d (No. 122)
Inequivalent atoms, fractional coordinates:
Mn 0.0000 0.0000 0.0000 x4  4 W 2.44, 4 Ni 2.48
Ni 0.2360 0.2500 0.1250 x8  4 Ni 2.38-2.51, 2 Mn 2.48, 2 W 2.51
W 0.0000 0.0000 0.5000 x4  4 Mn 2.44, 4 Ni 2.51

***

6.
Below is a relaxed Mn2NiW crystal, with properties calculated at the PBE level.

Formation energy, eV per atom: 0.081
D(E_F), states/eV/cell: 3.60
Crystal system: tetragonal
Energy above the most stable polymorph in this dataset, meV per atom: 50.2

a = 2.6413 Å, b = 2.6413 Å, c = 7.3645 Å
α = 90.00°, β = 90.00°, γ = 90.00°
Last column: nearest neighbours and their distance in Å.
Space group P4mm (No. 99)
Inequivalent atoms, fractional coordinates:
Mn 0.0000 0.0000 0.0000 x1  8 Mn 2.51-2.64, 4 W 2.75
Mn 0.5000 0.5000 0.2274 x1  8 Mn 2.51-2.64, 4 Ni 2.58
Ni 0.0000 0.0000 0.4686 x1  4 Mn 2.58, 4 Ni 2.64, 4 W 2.66
W 0.5000 0.5000 0.7258 x1  4 W 2.64, 4 Ni 2.66, 4 Mn 2.75

***

7.
Below is a relaxed MnNi2W crystal, with properties calculated at the PBE level.

Formation energy, eV per atom: 0.029
D(E_F), states/eV/cell: 10.73
Crystal system: tetragonal
Energy above the most stable polymorph in this dataset, meV per atom: 65.5

a = 3.6616 Å, b = 3.6616 Å, c = 7.3642 Å
α = 90.00°, β = 90.00°, γ = 90.00°
Last column: nearest neighbours and their distance in Å.
Space group I-4m2 (No. 119)
Inequivalent atoms, fractional coordinates:
Mn 0.0000 0.0000 0.0000 x2  8 Ni 2.59-2.60, 4 W 2.60
Ni 0.0000 0.0000 0.5000 x2  4 Mn 2.59, 4 W 2.60, 4 Ni 2.60
Ni 0.0000 0.5000 0.7500 x2  4 W 2.59, 4 Mn 2.60, 4 Ni 2.60
W 0.0000 0.5000 0.2500 x2  8 Ni 2.59-2.60, 4 Mn 2.60

***

8.
Below is a relaxed MnNiW2 crystal, with properties calculated at the PBE level.

Formation energy, eV per atom: 0.242
D(E_F), states/eV/cell: 19.64
Crystal system: cubic
Energy above the most stable polymorph in this dataset, meV per atom: 146.4

a = 6.0958 Å, b = 6.0958 Å, c = 6.0958 Å
α = 90.00°, β = 90.00°, γ = 90.00°
Last column: nearest neighbours and their distance in Å.
Space group F-43m (No. 216)
Inequivalent atoms, fractional coordinates:
Mn 0.0000 0.0000 0.0000 x4  4 W 2.64, 4 Ni 2.64
Ni 0.2500 0.2500 0.2500 x4  4 Mn 2.64, 4 W 2.64
W 0.0000 0.0000 0.5000 x4  4 Ni 2.64, 4 W 2.64
W 0.2500 0.2500 0.7500 x4  4 W 2.64, 4 Mn 2.64

***

9.
Below is a relaxed MnNiW crystal, with properties calculated at the PBE level.

Formation energy, eV per atom: 0.171
D(E_F), states/eV/cell: 2.98
Crystal system: trigonal
Energy above the most stable polymorph in this dataset, meV per atom: 132.3

a = 4.1770 Å, b = 4.1770 Å, c = 2.5435 Å
α = 90.00°, β = 90.00°, γ = 120.00°
Last column: nearest neighbours and their distance in Å.
Space group P3m1 (No. 156)
Inequivalent atoms, fractional coordinates:
Mn 0.0000 0.0000 0.0000 x1  3 W 2.52, 2 Mn 2.54, 3 Ni 2.61
Ni 0.6667 0.3333 0.3971 x1  3 W 2.54, 2 Ni 2.54, 3 Mn 2.61
W 0.3333 0.6667 0.7075 x1  3 Mn 2.52, 3 Ni 2.54, 2 W 2.54

***

10.
Below is a relaxed MnNiW crystal, with properties calculated at the PBE level.

Formation energy, eV per atom: 0.038
D(E_F), states/eV/cell: 8.53
Crystal system: orthorhombic
Energy above the most stable polymorph in this dataset, meV per atom: 0.0

a = 3.2512 Å, b = 12.1149 Å, c = 3.8809 Å
α = 90.00°, β = 90.00°, γ = 90.00°
Last column: nearest neighbours and their distance in Å.
Space group Cmcm (No. 63)
Inequivalent atoms, fractional coordinates:
Mn 0.0000 0.0805 0.2500 x4  6 W 2.54-2.66, 2 Ni 2.57, 2 Mn 2.75
Ni 0.0000 0.2551 0.7500 x4  4 Ni 2.53, 4 W 2.55-2.67, 2 Mn 2.57
W 0.0000 0.4066 0.2500 x4  6 Mn 2.54-2.66, 4 Ni 2.55-2.67

***

11.
Below is a relaxed Mn2NiW crystal, with properties calculated at the PBE level.

Formation energy, eV per atom: 0.280
D(E_F), states/eV/cell: 15.25
Crystal system: trigonal
Energy above the most stable polymorph in this dataset, meV per atom: 249.7

a = 2.7092 Å, b = 2.7092 Å, c = 25.3498 Å
α = 90.00°, β = 90.00°, γ = 120.00°
Last column: nearest neighbours and their distance in Å.
Space group R-3m (No. 166, hexagonal axes)
Inequivalent atoms, fractional coordinates:
Mn 0.0000 0.0000 0.2451 x6  3 Ni 2.53, 6 Mn 2.71, 3 W 2.73
Ni 0.0000 0.0000 0.5000 x3  6 Mn 2.53, 6 Ni 2.71
W 0.0000 0.0000 0.0000 x3  6 W 2.71, 6 Mn 2.73

***

12.
Below is a relaxed MnNiW2 crystal, with properties calculated at the PBE level.

Formation energy, eV per atom: 0.711
D(E_F), states/eV/cell: 15.40
Crystal system: tetragonal
Energy above the most stable polymorph in this dataset, meV per atom: 615.7

a = 6.6506 Å, b = 6.6506 Å, c = 5.2735 Å
α = 90.00°, β = 90.00°, γ = 90.00°
Last column: nearest neighbours and their distance in Å.
Space group I-42d (No. 122)
Inequivalent atoms, fractional coordinates:
Mn 0.0000 0.0000 0.0000 x4  4 W 2.39, 2 Ni 2.64
Ni 0.0000 0.0000 0.5000 x4  4 W 2.49, 2 Mn 2.64
W 0.2390 0.7500 0.1250 x8  2 Mn 2.39, 2 Ni 2.49, 2 W 2.64

***

13.
Below is a relaxed MnNiW2 crystal, with properties calculated at the PBE level.

Formation energy, eV per atom: 0.139
D(E_F), states/eV/cell: 3.29
Crystal system: tetragonal
Energy above the most stable polymorph in this dataset, meV per atom: 43.6

a = 2.6508 Å, b = 2.6508 Å, c = 7.8767 Å
α = 90.00°, β = 90.00°, γ = 90.00°
Last column: nearest neighbours and their distance in Å.
Space group P4/mmm (No. 123)
Inequivalent atoms, fractional coordinates:
Mn 0.0000 0.0000 0.0000 x1  4 Mn 2.65, 8 W 2.75
Ni 0.0000 0.0000 0.5000 x1  4 Ni 2.65, 8 W 2.68
W 0.5000 0.5000 0.2563 x2  4 W 2.65, 4 Ni 2.68, 4 Mn 2.75

***

14.
Below is a relaxed Mn2NiW crystal, with properties calculated at the PBE level.

Formation energy, eV per atom: 0.154
D(E_F), states/eV/cell: 9.29
Crystal system: monoclinic
Energy above the most stable polymorph in this dataset, meV per atom: 123.3

a = 8.6369 Å, b = 2.6811 Å, c = 4.4893 Å
α = 90.00°, β = 101.40°, γ = 90.00°
Last column: nearest neighbours and their distance in Å.
Space group Cm (No. 8)
Inequivalent atoms, fractional coordinates:
Mn 0.0000 0.0000 0.0000 x2  5 Mn 2.53-2.68, 4 Ni 2.55-2.68, 3 W 2.68-2.70
Mn 0.2448 0.5000 0.2144 x2  5 Mn 2.53-2.68, 3 Ni 2.59-2.70, 4 W 2.60-2.63
Ni 0.4901 0.0000 0.4786 x2  7 Mn 2.55-2.70, 3 W 2.55-2.60, 2 Ni 2.68
W 0.2426 0.0000 0.7103 x2  3 Ni 2.55-2.60, 7 Mn 2.60-2.70, 2 W 2.68